Compound: Be4CrAs
Source: Alexandria via LeMat-Bulk
Functional: PBE
Structure: relaxed

Cell lengths 4.343, 4.343, 4.343 Å; angles 60.00, 60.00, 60.00 degrees
Element x y z (fractional)
Be 0.378 0.378 0.378
Be 0.378 0.865 0.378
Be 0.865 0.378 0.378
Be 0.378 0.378 0.865
As 0.000 0.000 0.000
Cr 0.750 0.750 0.750

Results
E_form ... 0.1304 eV/atom
Fermi-level density of states ... 2.84 states/eV/cell
Magnetic moment ... 0.00 μB per formula unit
Space-group type ... F-43m